# CaCO3 (PBEsol, relaxed)
data_CaCO3
_chemical_formula_sum 'Ca2 C2 O6'
_space_group_name_H-M_alt 'P 1'
_space_group_IT_number 1
_space_group_name_Hall 'P 1'
_cell_length_a 6.3147
_cell_length_b 6.3147
_cell_length_c 6.3147
_cell_angle_alpha 46.71
_cell_angle_beta 46.71
_cell_angle_gamma 46.71
loop_
_atom_site_label
_atom_site_type_symbol
_atom_site_fract_x
_atom_site_fract_y
_atom_site_fract_z
Ca1 Ca 0.0000 0.0000 0.0000
Ca2 Ca 0.5000 0.5000 0.5000
C1 C 0.2500 0.2500 0.2500
C2 C 0.7500 0.7500 0.7500
O1 O 0.0085 0.7500 0.4915
O2 O 0.2500 0.5085 0.9915
O3 O 0.4915 0.0085 0.7500
O4 O 0.5085 0.9915 0.2500
O5 O 0.7500 0.4915 0.0085
O6 O 0.9915 0.2500 0.5085
# V: 12.2 Å³/atom
# Density: 2.7 g/cm3
# Formation energy without anion corrections: -220.7 kJ/mol of atoms
# M_tot: 0.0 μB per formula unit
# SG: R-3c (167)